(1)
An optimized crystal structure of Dy6Ho2TmSc3, computed with GGA-PBE.

Cell and atoms, written as POSCAR:
```
Dy6Ho2TmSc3
1.0
6.019 0.002 0.007
-3.007 5.215 0.007
-1.015 -1.758 11.227
Dy Ho Tm Sc
6 2 1 3
direct
0.914 0.581 0.742 Dy
0.753 0.753 0.258 Dy
0.086 0.419 0.258 Dy
0.581 0.914 0.742 Dy
0.247 0.247 0.742 Dy
0.419 0.086 0.258 Dy
0.333 0.667 0.000 Ho
0.667 0.333 0.000 Ho
0.000 0.000 0.000 Tm
0.167 0.833 0.500 Sc
0.833 0.167 0.500 Sc
0.500 0.500 0.500 Sc
```

Calculated values
energy relative to the elements = 0.043 eV per atom
space group = C2/m (12)

(2)
An optimized crystal structure of KTiCrIn2, computed with GGA-PBE.

Cell and atoms, written as POSCAR:
```
KTiCrIn2
1.0
5.336 0.000 0.000
0.000 4.331 0.000
0.000 0.000 5.336
Cr K Ti In
1 1 1 2
direct
0.000 0.000 0.000 Cr
0.500 0.500 0.500 K
0.000 0.500 0.000 Ti
0.000 0.000 0.500 In
0.500 0.000 0.000 In
```

Calculated values
energy relative to the elements = 0.292 eV per atom
space group = P4/mmm (123)

(3)
An optimized crystal structure of Sb2Au2I, computed with GGA-PBE.

Cell and atoms, written as POSCAR:
```
Sb2Au2I
1.0
-8.075 -1.154 2.351
1.592 -8.214 1.437
0.857 0.745 3.308
I Sb Au
2 4 4
direct
0.000 0.000 0.000 I
0.500 0.500 0.000 I
0.135 0.635 0.500 Sb
0.635 0.865 0.500 Sb
0.865 0.365 0.500 Sb
0.365 0.135 0.500 Sb
0.344 0.844 0.000 Au
0.844 0.656 0.000 Au
0.656 0.156 0.000 Au
0.156 0.344 0.000 Au
```

Calculated values
energy above the lowest structure with this stoichiometry = 222 meV/atom
energy relative to the elements, uncorrected = 0.214 eV per atom
space group = P4/mbm (127)

(4)
An optimized crystal structure of NdY6Mg2, computed with GGA-PBE.

Cell and atoms, written as POSCAR:
```
NdY6Mg2
1.0
7.250 0.000 0.000
3.625 6.279 0.000
3.625 2.093 6.395
Nd Y Mg
1 6 2
direct
0.319 0.319 0.044 Nd
0.772 0.266 0.696 Y
0.266 0.772 0.696 Y
0.266 0.266 0.696 Y
0.051 0.607 0.291 Y
0.051 0.051 0.291 Y
0.607 0.051 0.291 Y
0.756 0.756 0.732 Mg
0.578 0.578 0.267 Mg
```

Calculated values
energy relative to the elements = 0.432 eV per atom
space group = R3m (160)

(5)
An optimized crystal structure of Sc2CdTc, computed with GGA-PBE.

Cell and atoms, written as POSCAR:
```
Sc2CdTc
1.0
4.202 0.000 0.000
0.000 4.202 0.000
2.101 2.101 9.529
Sc Tc Cd
4 2 2
direct
0.605 0.125 0.250 Sc
0.145 0.625 0.250 Sc
0.375 0.395 0.750 Sc
0.875 0.855 0.750 Sc
0.500 0.500 0.000 Tc
0.250 0.750 0.500 Tc
0.000 0.000 0.000 Cd
0.750 0.250 0.500 Cd
```

Calculated values
energy relative to the elements = 0.480 eV per atom
space group = I-42d (122)

(6)
An optimized crystal structure of KBeF3, computed with GGA-PBE.

Cell and atoms, written as POSCAR:
```
KBeF3
1.0
-1.455 3.817 -6.497
-4.936 -5.677 -1.518
-3.580 2.546 2.352
K Be F
4 4 12
direct
0.110 0.890 0.250 K
0.890 0.110 0.750 K
0.675 0.325 0.250 K
0.325 0.675 0.750 K
0.801 0.638 0.760 Be
0.362 0.199 0.740 Be
0.199 0.362 0.240 Be
0.638 0.801 0.260 Be
0.963 0.767 0.759 F
0.233 0.037 0.741 F
0.037 0.233 0.241 F
0.767 0.963 0.259 F
0.833 0.446 0.734 F
0.554 0.167 0.766 F
0.167 0.554 0.266 F
0.446 0.833 0.234 F
0.687 0.664 0.027 F
0.336 0.313 0.473 F
0.313 0.336 0.973 F
0.664 0.687 0.527 F
```

Calculated values
energy relative to the elements, uncorrected = -3.144 eV per atom
space group = C2/c (15)

(7)
An optimized crystal structure of CuBSeBr2, computed with GGA-PBE.

Cell and atoms, written as POSCAR:
```
CuBSeBr2
1.0
4.686 0.000 0.000
0.000 4.686 0.000
0.000 0.000 4.533
B Cu Se Br
1 1 1 2
direct
0.000 0.000 0.000 B
0.500 0.500 0.500 Cu
0.000 0.000 0.500 Se
0.000 0.500 0.000 Br
0.500 0.000 0.000 Br
```

Calculated values
energy above the lowest structure with this stoichiometry = 0 meV/atom
energy relative to the elements, uncorrected = 0.811 eV per atom
space group = P4/mmm (123)

(8)
An optimized crystal structure of CsInGa2Ru, computed with GGA-PBE.

Cell and atoms, written as POSCAR:
```
CsInGa2Ru
1.0
-3.316 1.840 3.244
-0.859 -4.601 1.731
3.834 0.625 3.564
Cs Ru Ga In
1 1 2 1
direct
0.500 0.500 0.500 Cs
0.000 0.000 0.000 Ru
0.000 0.500 0.000 Ga
0.500 0.000 0.000 Ga
0.000 0.000 0.500 In
```

Calculated values
energy relative to the elements = -0.176 eV per atom
space group = P4/mmm (123)